Entry from Alexandria: crystalline SnIrSe2 at its relaxed geometry (PBE).

Unit cell a=6.748 b=6.748 c=6.748 alpha=90.00 beta=90.00 gamma=90.00
Space group F-43m (No. 216)
Unique sites:
1 Sn 0.000 0.000 0.000 x4
2 Ir 0.250 0.250 0.750 x4
3 Se 0.000 0.000 0.500 x4
4 Se 0.250 0.250 0.250 x4

Crystal system: cubic

***

Entry from Alexandria: crystalline Sn3IrSe at its relaxed geometry (PBE).

Unit cell a=5.152 b=5.152 c=5.152 alpha=90.00 beta=90.00 gamma=90.00
Space group Pm-3m (No. 221)
Unique sites:
1 Sn 0.000 0.000 0.500 x3
2 Ir 0.000 0.000 0.000 x1
3 Se 0.500 0.500 0.500 x1

Crystal system: cubic
Relative energy among the computed polymorphs (meV per atom): 95.0

***

no.,E_form (uncorrected) (eV per atom)
1,0.53
2,-0.05